Entry 1:
PBE-GGA ZrAlSb2, optimized geometry; space group = Pm; formation energy without anion corrections = -41.8 kJ/mol of atoms
1.0
4.1640 0.0000 0.0000
0.0000 3.9552 -0.0016
0.0000 1.9689 5.6185
Sb Al Zr
2 1 1
Direct
0.0000 0.9934 0.8890
0.5000 0.2807 0.3127
0.5000 0.5224 0.8305
0.0000 0.7035 0.4677



Entry 2:
PBE-GGA ZrAl2Sb, optimized geometry; space group = I-42d; formation energy without anion corrections = 7.5 kJ/mol of atoms
1.0
-2.9559 4.7686 -5.4608
0.6079 -5.7134 -5.3183
-3.8433 -1.3710 -4.7293
Sb Al Zr
2 4 2
Direct
0.0000 0.0000 0.0000
0.7500 0.2500 0.5000
0.6380 0.1250 0.2500
0.1120 0.6250 0.2500
0.3750 0.3620 0.7500
0.8750 0.8880 0.7500
0.5000 0.5000 0.0000
0.2500 0.7500 0.5000



Entry 3:
PBE-GGA Zr2AlSb2, optimized geometry; space group = P4/mbm; distance to the lowest polymorph of the same formula = 0 meV/atom; formation energy without anion corrections = -40.1 kJ/mol of atoms
1.0
7.6870 0.0000 0.0000
0.0000 7.6870 0.0000
0.0000 0.0000 3.9257
Sb Al Zr
4 2 4
Direct
0.1500 0.6500 0.5000
0.6500 0.8500 0.5000
0.8500 0.3500 0.5000
0.3500 0.1500 0.5000
0.0000 0.0000 0.0000
0.5000 0.5000 0.0000
0.3483 0.8483 0.0000
0.8483 0.6517 0.0000
0.6517 0.1517 0.0000
0.1517 0.3483 0.0000



Entry 4:
PBE-GGA ZrAlSb2, optimized geometry; space group = P4/mmm; formation energy without anion corrections = -7.6 kJ/mol of atoms
1.0
-0.2023 0.1842 3.2863
1.6161 -2.8627 0.2599
7.5158 4.2633 0.2237
Sb Al Zr
2 1 1
Direct
0.0000 0.0000 0.0065
0.0000 0.0000 0.4935
0.5000 0.5000 0.7500
0.5000 0.5000 0.2500



Entry 5:
PBE-GGA ZrAl2Sb, optimized geometry; space group = I-4m2; formation energy without anion corrections = -25.6 kJ/mol of atoms
1.0
-3.8999 -0.4616 3.7631
-2.5529 -4.8026 0.0264
5.2003 1.5933 0.0235
Sb Al Zr
1 2 1
Direct
0.5000 0.5000 0.0000
0.0000 0.0000 0.0000
0.2500 0.7500 0.5000
0.7500 0.2500 0.5000



Entry 6:
PBE-GGA ZrAlSb2, optimized geometry; space group = Immm; formation energy without anion corrections = -21.2 kJ/mol of atoms
1.0
-2.7895 1.9813 -4.2764
-3.4030 -3.9418 -1.6959
0.9911 2.9007 4.5385
Sb Al Zr
2 1 1
Direct
0.0204 0.0204 0.0000
0.4796 0.4796 0.0000
0.2500 0.7500 0.5000
0.7500 0.2500 0.5000



| no. | spin magnetization (μB per atom) |
| --- | --- |
| 1 | 0.000 |
| 2 | 0.000 |
| 3 | 0.000 |
| 4 | 0.000 |
| 5 | 0.000 |
| 6 | 0.000 |